The following is a DFT calculation (PBE) of MgMo2P after structural relaxation.

Geometry as CIF:
```
data_MgMo2P
_cell_length_a 5.456
_cell_length_b 6.376
_cell_length_c 3.422
_cell_angle_alpha 90.00
_cell_angle_beta 90.00
_cell_angle_gamma 90.00
_symmetry_space_group_name_H-M 'C m m m'
_symmetry_Int_Tables_number 65
_symmetry_space_group_name_Hall '-C 2 2'
loop_
_atom_site_label
_atom_site_fract_x
_atom_site_fract_y
_atom_site_fract_z
Mg1 0.000 0.000 0.000
Mo1 0.250 0.250 0.500
P1 0.000 0.500 0.000
```

Calculated values
The value obtained for the calculated total energy is -6.907 eV per atom. Its formation enthalpy at 0 K is 0.26 eV per atom. The value obtained for the energy above the most stable polymorph in this dataset is 0.263 eV/atom.